Ca3Zn8 after structural relaxation. Source: the Alexandria database, functional GGA-PBE.

Cell lengths 3.930, 4.348, 26.894 Å; angles 90.00, 90.00, 90.00 degrees
Space group Immm (No. 71)
Symmetry-distinct sites (fractional):
Ca1 0.000 0.000 0.000 [2 per cell]
Ca2 0.000 0.500 0.148 [4 per cell]
Zn1 0.000 0.000 0.253 [4 per cell]
Zn2 0.000 0.000 0.452 [4 per cell]
Zn3 0.000 0.500 0.309 [4 per cell]
Zn4 0.000 0.500 0.403 [4 per cell]

Calculated values
Density of states at the Fermi level ... 0.429 states/eV/atom
Size of the total moment ... 0.000 μB per atom
Formation energy ... -0.254 eV per atom